(1)
Al3Se5 after structural relaxation, computed with PBE-GGA.

abc: 5.214 5.214 7.245
angles: 90.00 90.00 90.22
Sites, in units of the cell vectors:
Al: 0.000 0.000 0.000
Al: 0.259 0.741 0.500
Al: 0.741 0.259 0.500
Se: 0.000 0.500 0.000
Se: 0.244 0.244 0.500
Se: 0.500 0.000 0.000
Se: 0.500 0.500 0.000
Se: 0.756 0.756 0.500

Calculated values
- Formation energy (no corrections): -0.1302 eV per atom
- D(E_F): 0.224 states/eV per atom
- Polymorph energy (0 for the lowest one): 3.74 eV per formula unit
- Space-group type: No. 65
- Uncorrected energy: -3.711 eV per atom
- Crystal system: orthorhombic
- Density: 4011 kg/m³
- Volume: 24.617 Å³/atom


(2)
TaAg2Au after structural relaxation, computed with PBE-GGA.

abc: 6.017 6.017 6.017
angles: 101.91 101.91 125.97
Sites, in units of the cell vectors:
Ta: 0.000 0.000 0.000
Ta: 0.750 0.250 0.500
Ag: 0.124 0.625 0.999
Ag: 0.375 0.374 0.499
Ag: 0.626 0.125 0.001
Ag: 0.875 0.876 0.501
Au: 0.250 0.750 0.500
Au: 0.500 0.500 0.000

Calculated values
- D(E_F): 1.009 states/eV per atom
- Polymorph energy (0 for the lowest one): 2.48 eV per formula unit
- Space-group type: No. 122
- Uncorrected energy: -4.497 eV per atom
- Crystal system: tetragonal
- Density: 12553 kg/m³
- Volume: 19.632 Å³/atom


(3)
TlReSbSe2 after structural relaxation, computed with PBE-GGA.

abc: 4.826 4.826 5.690
angles: 90.00 90.00 90.00
Sites, in units of the cell vectors:
Tl: 0.000 0.000 0.000
Re: 0.500 0.500 0.500
Sb: 0.500 0.500 0.000
Se: 0.000 0.500 0.500
Se: 0.500 0.000 0.500

Calculated values
- Formation energy (no corrections): 0.3390 eV per atom
- D(E_F): 1.214 states/eV per atom
- Space-group type: No. 123
- Uncorrected energy: -4.842 eV per atom
- Crystal system: tetragonal
- Density: 8398 kg/m³
- Volume: 26.505 Å³/atom


(4)
LiAu2Se after structural relaxation, computed with PBE-GGA.

abc: 5.000 5.000 5.000
angles: 129.82 129.82 73.69
Sites, in units of the cell vectors:
Li: 0.000 0.000 0.000
Au: 0.500 0.500 0.000
Au: 0.750 0.250 0.500
Se: 0.250 0.750 0.500

Calculated values
- Formation energy (no corrections): -0.2072 eV per atom
- D(E_F): 0.511 states/eV per atom
- Polymorph energy (0 for the lowest one): 0.43 eV per formula unit
- Space-group type: No. 119
- Uncorrected energy: -3.195 eV per atom
- Crystal system: tetragonal
- Density: 11072 kg/m³
- Volume: 17.991 Å³/atom


(5)
BaTlO2 after structural relaxation, computed with PBE-GGA.

abc: 7.524 7.524 7.524
angles: 27.90 27.90 27.90
Sites, in units of the cell vectors:
Ba: 0.000 0.000 0.000
Tl: 0.500 0.500 0.500
O: 0.116 0.116 0.116
O: 0.884 0.884 0.884

Calculated values
- Formation energy (no corrections): -0.8357 eV per atom
- D(E_F): 0.456 states/eV per atom
- Polymorph energy (0 for the lowest one): 2.88 eV per formula unit
- Space-group type: No. 166
- Uncorrected energy: -4.387 eV per atom
- Crystal system: trigonal
- Density: 7536 kg/m³
- Volume: 20.587 Å³/atom


(6)
KMo3Br after structural relaxation, computed with PBE-GGA.

abc: 4.778 4.778 4.778
angles: 90.00 90.00 90.00
Sites, in units of the cell vectors:
K: 0.000 0.000 0.000
Mo: 0.000 0.500 0.500
Mo: 0.500 0.000 0.500
Mo: 0.500 0.500 0.000
Br: 0.500 0.500 0.500

Calculated values
- Formation energy (no corrections): 1.8821 eV per atom
- D(E_F): 0.725 states/eV per atom
- Polymorph energy (0 for the lowest one): 0.00 eV per formula unit
- Space-group type: No. 221
- Uncorrected energy: -5.171 eV per atom
- Crystal system: cubic
- Density: 6193 kg/m³
- Volume: 21.815 Å³/atom


(7)
AgRhSe2 after structural relaxation, computed with PBE-GGA.

abc: 6.114 8.692 6.099
angles: 90.00 90.00 90.00
Sites, in units of the cell vectors:
Ag: 0.250 0.250 0.229
Ag: 0.250 0.250 0.729
Ag: 0.750 0.750 0.271
Ag: 0.750 0.750 0.771
Rh: 0.000 0.000 0.000
Rh: 0.000 0.500 0.500
Rh: 0.500 0.000 0.500
Rh: 0.500 0.500 0.000
Se: 0.134 0.562 0.134
Se: 0.134 0.938 0.634
Se: 0.366 0.562 0.634
Se: 0.366 0.938 0.134
Se: 0.634 0.062 0.866
Se: 0.634 0.438 0.366
Se: 0.866 0.062 0.366
Se: 0.866 0.438 0.866

Calculated values
- Formation energy (no corrections): -0.1302 eV per atom
- D(E_F): 0.000 states/eV per atom
- Space-group type: No. 56
- Uncorrected energy: -4.423 eV per atom
- Crystal system: orthorhombic
- Density: 7556 kg/m³
- Volume: 20.256 Å³/atom


(8)
BaZr2Se after structural relaxation, computed with PBE-GGA.

abc: 3.899 4.390 7.210
angles: 90.00 105.62 90.00
Sites, in units of the cell vectors:
Ba: 0.000 0.000 0.000
Zr: 0.255 0.500 0.514
Zr: 0.739 0.000 0.482
Se: 0.610 0.500 0.222

Calculated values
- Formation energy (no corrections): -0.4712 eV per atom
- D(E_F): 0.643 states/eV per atom
- Space-group type: No. 6
- Uncorrected energy: -6.097 eV per atom
- Crystal system: monoclinic
- Density: 5571 kg/m³
- Volume: 29.713 Å³/atom


Repeat the sixth record exactly.
KMo3Br after structural relaxation, computed with PBE-GGA.

abc: 4.778 4.778 4.778
angles: 90.00 90.00 90.00
Sites, in units of the cell vectors:
K: 0.000 0.000 0.000
Mo: 0.000 0.500 0.500
Mo: 0.500 0.000 0.500
Mo: 0.500 0.500 0.000
Br: 0.500 0.500 0.500

Calculated values
- Formation energy (no corrections): 1.8821 eV per atom
- D(E_F): 0.725 states/eV per atom
- Polymorph energy (0 for the lowest one): 0.00 eV per formula unit
- Space-group type: No. 221
- Uncorrected energy: -5.171 eV per atom
- Crystal system: cubic
- Density: 6193 kg/m³
- Volume: 21.815 Å³/atom


Q: uncorrected energy of number 8 (BaZr2Se)?
A: -6.097 eV per atom


Q: Among the records above, which one has the highest density?
A: TaAg2Au


Q: The lowest uncorrected energy belongs to which entry?
A: BaZr2Se